Entry 1:
First-principles (GGA-PBE) data for a relaxed structure of TeAsPtO, as listed in OQMD. Values from VASP.

Structure (Quantum ESPRESSO input):
```
&SYSTEM
  ibrav = 0, nat = 8, ntyp = 4
/
ATOMIC_SPECIES
Te 127.60 Te.upf
As 74.92 As.upf
Pt 195.08 Pt.upf
O 16.00 O.upf
ATOMIC_POSITIONS angstrom
Te 0.0000 0.1047 0.0000
Te 0.0000 5.5717 3.6393
As 1.9628 1.9253 6.3195
As 1.9628 3.7510 2.6802
Pt 1.9628 1.7107 3.9575
Pt 1.9628 3.9656 0.3183
O 0.0000 1.0160 1.8114
O 0.0000 4.6603 5.4507
CELL_PARAMETERS angstrom
3.9257 0.0000 0.0000
0.0000 5.6763 0.0000
0.0000 0.0000 7.2785
```

Symmetry: Pmc2_1 (26)
Spin magnetization: 0.00 μB/f.u.
Energy relative to the lowest polymorph listed for this composition: 0.000 eV per atom


Entry 2:
First-principles (GGA-PBE) data for a relaxed structure of YScAg2O4, as listed in OQMD. Values from VASP.

Structure (Quantum ESPRESSO input):
```
&SYSTEM
  ibrav = 0, nat = 8, ntyp = 4
/
ATOMIC_SPECIES
Y 88.91 Y.upf
Sc 44.96 Sc.upf
Ag 107.87 Ag.upf
O 16.00 O.upf
ATOMIC_POSITIONS angstrom
Y 0.0000 0.0000 0.0000
Sc 0.0000 0.0000 6.2615
Ag 0.0000 1.9233 9.3097
Ag 1.6656 0.9616 3.2132
O 0.0000 1.9233 7.2338
O 0.0000 1.9233 11.3850
O 1.6656 0.9616 1.1379
O 1.6656 0.9616 5.2892
CELL_PARAMETERS angstrom
3.3312 0.0000 0.0000
-1.6656 2.8849 0.0000
0.0000 0.0000 12.5229
```

Symmetry: P-3m1 (164)
Spin magnetization: 0.01 μB/f.u.
Final energy: -7.01 eV per atom


Entry 3:
First-principles (GGA-PBE) data for a relaxed structure of BaTaB4, as listed in OQMD. Values from VASP.

Structure (Quantum ESPRESSO input):
```
&SYSTEM
  ibrav = 0, nat = 6, ntyp = 3
/
ATOMIC_SPECIES
Ba 137.33 Ba.upf
Ta 180.95 Ta.upf
B 10.81 B.upf
ATOMIC_POSITIONS angstrom
Ba 0.0000 0.0000 0.0000
Ta 0.0000 0.0000 4.0359
B 1.5639 -0.9480 2.1286
B 1.5639 0.9480 2.1286
B 0.0000 1.9597 1.9073
B 0.0000 3.8557 1.9073
CELL_PARAMETERS angstrom
-1.5639 2.9077 4.0359
1.5639 -2.9077 4.0359
1.5639 2.9077 -4.0359
```

Symmetry: Immm (71)
Spin magnetization: 0.00 μB/f.u.
Energy relative to the lowest polymorph listed for this composition: 0.634 eV per atom


Entry 4:
First-principles (GGA-PBE) data for a relaxed structure of Pr2HoCd3Ag3, as listed in OQMD. Values from VASP.

Structure (Quantum ESPRESSO input):
```
&SYSTEM
  ibrav = 0, nat = 9, ntyp = 4
/
ATOMIC_SPECIES
Pr 140.91 Pr.upf
Ho 164.93 Ho.upf
Cd 112.41 Cd.upf
Ag 107.87 Ag.upf
ATOMIC_POSITIONS angstrom
Pr 0.0000 -4.0930 3.9947
Pr 0.0000 4.0930 3.9947
Ho 0.0000 0.0000 3.1257
Cd 2.0010 0.0000 0.4726
Cd 2.0010 -1.7637 5.3146
Cd 2.0010 1.7637 5.3146
Ag 0.0000 0.0000 6.3399
Ag 2.0010 -2.2299 2.3948
Ag 2.0010 2.2299 2.3948
CELL_PARAMETERS angstrom
4.0021 0.0000 0.0000
0.0000 6.8850 3.9947
0.0000 -6.8850 3.9947
```

Symmetry: Amm2 (38)
Energy of formation from the pure elements: -330 meV per atom
Spin magnetization: 0.01 μB/f.u.


Entry 5:
First-principles (GGA-PBE) data for a relaxed structure of TcAgO3, as listed in OQMD. Values from VASP.

Structure (Quantum ESPRESSO input):
```
&SYSTEM
  ibrav = 0, nat = 5, ntyp = 3
/
ATOMIC_SPECIES
Tc 98.00 Tc.upf
Ag 107.87 Ag.upf
O 16.00 O.upf
ATOMIC_POSITIONS angstrom
Tc 0.0000 0.0000 0.0000
Ag 1.6650 1.6650 2.6593
O 0.0000 1.6650 4.1402
O 1.6650 0.0000 4.1402
O 1.6650 1.6650 0.7058
CELL_PARAMETERS angstrom
3.3299 0.0000 0.0000
0.0000 3.3299 0.0000
0.0000 0.0000 5.1621
```

Symmetry: P4mm (99)
Spin magnetization: 0.00 μB/f.u.
Final energy: -5.75 eV per atom


Entry 6:
First-principles (GGA-PBE) data for a relaxed structure of SrLaGe4Ir2, as listed in OQMD. Values from VASP.

Structure (Quantum ESPRESSO input):
```
&SYSTEM
  ibrav = 0, nat = 8, ntyp = 4
/
ATOMIC_SPECIES
Sr 87.62 Sr.upf
La 138.91 La.upf
Ge 72.64 Ge.upf
Ir 192.22 Ir.upf
ATOMIC_POSITIONS angstrom
Sr 0.0000 0.0000 0.0000
La 2.2015 0.0000 13.6854
Ge 0.0000 0.0000 6.1406
Ge 0.0000 0.0000 11.2313
Ge 2.2015 0.0000 2.4937
Ge 2.2015 0.0000 7.5510
Ir 0.0000 0.0000 3.7190
Ir 2.2015 0.0000 10.0047
CELL_PARAMETERS angstrom
4.4029 0.0000 0.0000
0.0000 2.2275 8.7430
0.0000 -2.2275 8.7430
```

Symmetry: Amm2 (38)
Spin magnetization: 0.00 μB/f.u.
Final energy: -6.05 eV per atom


Entry 7:
First-principles (GGA-PBE) data for a relaxed structure of Lu3ZrSb2C2, as listed in OQMD. Values from VASP.

Structure (Quantum ESPRESSO input):
```
&SYSTEM
  ibrav = 0, nat = 8, ntyp = 4
/
ATOMIC_SPECIES
Lu 174.97 Lu.upf
Zr 91.22 Zr.upf
Sb 121.76 Sb.upf
C 12.01 C.upf
ATOMIC_POSITIONS angstrom
Lu 0.0000 0.0000 0.0000
Lu 0.0000 0.0000 4.8304
Lu 0.0000 2.0385 12.0650
Zr 0.0000 2.0385 7.3443
Sb 0.0000 0.0000 9.6103
Sb 0.0000 2.0385 2.4290
C 1.7654 1.0192 6.1521
C 1.7654 1.0192 13.3366
CELL_PARAMETERS angstrom
3.5308 0.0000 0.0000
-1.7654 3.0577 0.0000
0.0000 0.0000 14.6205
```

Symmetry: P3m1 (156)
Spin magnetization: 0.01 μB/f.u.
Final energy: -6.81 eV per atom


Entry 8:
First-principles (GGA-PBE) data for a relaxed structure of SmCdAs, as listed in OQMD. Values from VASP.

Structure (Quantum ESPRESSO input):
```
&SYSTEM
  ibrav = 0, nat = 3, ntyp = 3
/
ATOMIC_SPECIES
Sm 150.36 Sm.upf
Cd 112.41 Cd.upf
As 74.92 As.upf
ATOMIC_POSITIONS angstrom
Sm 0.0000 0.0000 0.0000
Cd 5.1463 5.1463 5.1463
As 3.4308 3.4308 3.4308
CELL_PARAMETERS angstrom
0.0000 3.4308 3.4308
3.4308 0.0000 3.4308
3.4308 3.4308 0.0000
```

Symmetry: F-43m (216)
Spin magnetization: 0.01 μB/f.u.
Energy relative to the lowest polymorph listed for this composition: 0.224 eV per atom


Entry 9:
First-principles (GGA-PBE) data for a relaxed structure of Tl4Zn3F10, as listed in OQMD. Values from VASP.

Structure (Quantum ESPRESSO input):
```
&SYSTEM
  ibrav = 0, nat = 34, ntyp = 3
/
ATOMIC_SPECIES
Tl 204.38 Tl.upf
Zn 65.41 Zn.upf
F 19.00 F.upf
ATOMIC_POSITIONS angstrom
Tl 2.9212 6.3678 11.3532
Tl 2.9212 3.6407 8.1545
Tl 2.9212 3.1930 1.5514
Tl 2.9212 0.4660 4.7501
Tl 2.9212 -0.4660 8.4561
Tl 2.9212 -3.1930 11.6548
Tl 2.9212 -3.6407 5.0517
Tl 2.9212 -6.3678 1.8530
Zn 0.0000 0.0000 6.6031
Zn 2.9212 4.9582 4.6269
Zn 2.9212 1.8755 11.2300
Zn 2.9212 0.0000 0.0000
Zn 2.9212 -1.8755 1.9762
Zn 2.9212 -4.9582 8.5793
F 2.9212 6.4616 8.5778
F 1.3382 1.5211 7.0230
F 1.4606 1.6491 9.9046
F 1.5829 1.5211 12.7863
F 2.9212 3.8151 11.1443
F 2.9212 3.0187 4.5412
F 1.3382 -1.5211 6.1832
F 1.4606 -1.6491 3.3015
F 1.5829 -1.5211 0.4199
F 2.9212 0.3722 1.9747
F 2.9212 -0.3722 11.2315
F 4.2594 1.5211 12.7863
F 4.3817 1.6491 9.9046
F 4.5041 1.5211 7.0230
F 2.9212 -3.0187 8.6650
F 2.9212 -3.8151 2.0619
F 4.2594 -1.5211 0.4199
F 4.3817 -1.6491 3.3015
F 4.5041 -1.5211 6.1832
F 2.9212 -6.4616 4.6284
CELL_PARAMETERS angstrom
2.9212 -6.8338 0.0000
2.9212 6.8338 0.0000
0.0000 0.0000 13.2062
```

Symmetry: Cmce (64)
Final energy: -3.91 eV per atom


Entry 10:
First-principles (GGA-PBE) data for a relaxed structure of BeZnOsW, as listed in OQMD. Values from VASP.

Structure (Quantum ESPRESSO input):
```
&SYSTEM
  ibrav = 0, nat = 4, ntyp = 4
/
ATOMIC_SPECIES
Be 9.01 Be.upf
Zn 65.41 Zn.upf
Os 190.23 Os.upf
W 183.84 W.upf
ATOMIC_POSITIONS angstrom
Be 0.0000 0.0000 0.0000
Zn 2.9603 2.9603 2.9603
Os 4.4404 4.4404 4.4404
W 1.4801 1.4801 1.4801
CELL_PARAMETERS angstrom
0.0000 2.9603 2.9603
2.9603 0.0000 2.9603
2.9603 2.9603 0.0000
```

Symmetry: F-43m (216)
Spin magnetization: 0.09 μB/f.u.
Energy relative to the lowest polymorph listed for this composition: 0.300 eV per atom


Entry 11:
First-principles (GGA-PBE) data for a relaxed structure of Li2Cd2GaGeIr2, as listed in OQMD. Values from VASP.

Structure (Quantum ESPRESSO input):
```
&SYSTEM
  ibrav = 0, nat = 8, ntyp = 5
/
ATOMIC_SPECIES
Li 6.94 Li.upf
Cd 112.41 Cd.upf
Ga 69.72 Ga.upf
Ge 72.64 Ge.upf
Ir 192.22 Ir.upf
ATOMIC_POSITIONS angstrom
Li 0.0000 2.2295 1.5648
Li 2.2295 0.0000 4.7204
Cd 0.0000 0.0000 0.0000
Cd 2.2295 2.2295 3.1426
Ga 2.2295 2.2295 0.0000
Ge 0.0000 0.0000 3.1426
Ir 0.0000 2.2295 4.6714
Ir 2.2295 0.0000 1.6138
CELL_PARAMETERS angstrom
4.4591 0.0000 0.0000
0.0000 4.4591 0.0000
0.0000 0.0000 6.2852
```

Symmetry: P-4m2 (115)
Spin magnetization: 0.00 μB/f.u.
Final energy: -4.11 eV per atom


Entry 12:
First-principles (GGA-PBE) data for a relaxed structure of Y4AuC3, as listed in OQMD. Values from VASP.

Structure (Quantum ESPRESSO input):
```
&SYSTEM
  ibrav = 0, nat = 16, ntyp = 3
/
ATOMIC_SPECIES
Y 88.91 Y.upf
Au 196.97 Au.upf
C 12.01 C.upf
ATOMIC_POSITIONS angstrom
Y 0.0000 0.0000 4.2801
Y 0.0000 0.0000 8.9400
Y 0.0000 0.0000 17.5002
Y 0.0000 0.0000 22.1602
Y 0.0000 2.0872 1.4798
Y 0.0000 2.0872 11.7404
Y 1.8076 1.0436 14.6999
Y 1.8076 1.0436 24.9605
Au 0.0000 2.0872 6.6101
Au 1.8076 1.0436 19.8302
C 0.0000 0.0000 0.0000
C 0.0000 0.0000 13.2201
C 0.0000 2.0872 16.3140
C 0.0000 2.0872 23.3465
C 1.8076 1.0436 3.0938
C 1.8076 1.0436 10.1263
CELL_PARAMETERS angstrom
3.6152 0.0000 0.0000
-1.8076 3.1308 0.0000
0.0000 0.0000 26.4403
```

Symmetry: P6_3/mmc (194)
Spin magnetization: 0.02 μB/f.u.
Final energy: -7.41 eV per atom


Entry 13:
First-principles (GGA-PBE) data for a relaxed structure of HoEr6Te2Ir2, as listed in OQMD. Values from VASP.

Structure (Quantum ESPRESSO input):
```
&SYSTEM
  ibrav = 0, nat = 11, ntyp = 4
/
ATOMIC_SPECIES
Ho 164.93 Ho.upf
Er 167.26 Er.upf
Te 127.60 Te.upf
Ir 192.22 Ir.upf
ATOMIC_POSITIONS angstrom
Ho 0.0000 0.0000 0.0000
Er 1.9558 2.8824 -1.2050
Er 1.9558 -2.2866 2.1758
Er 1.9558 2.2866 2.1758
Er 1.9558 5.7460 0.7744
Er 0.0000 4.9216 3.4985
Er 0.0000 2.0580 5.4780
Te 0.0000 0.0000 3.1703
Te 0.0000 7.8040 2.2162
Ir 0.0000 3.7122 0.6746
Ir 0.0000 11.8958 0.6746
CELL_PARAMETERS angstrom
-1.9558 7.8040 4.7036
1.9558 -7.8040 4.7036
1.9558 7.8040 -4.7036
```

Symmetry: Imm2 (44)
Spin magnetization: 0.01 μB/f.u.
Final energy: -6.02 eV per atom


Entry 14:
First-principles (GGA-PBE) data for a relaxed structure of CuHgSbMo, as listed in OQMD. Values from VASP.

Structure (Quantum ESPRESSO input):
```
&SYSTEM
  ibrav = 0, nat = 4, ntyp = 4
/
ATOMIC_SPECIES
Cu 63.55 Cu.upf
Hg 200.59 Hg.upf
Sb 121.76 Sb.upf
Mo 95.94 Mo.upf
ATOMIC_POSITIONS angstrom
Cu 0.0000 0.0000 0.0000
Hg 1.6575 1.6575 1.6575
Sb 4.9725 4.9725 4.9725
Mo 3.3150 3.3150 3.3150
CELL_PARAMETERS angstrom
0.0000 3.3150 3.3150
3.3150 0.0000 3.3150
3.3150 3.3150 0.0000
```

Symmetry: F-43m (216)
Spin magnetization: 0.09 μB/f.u.
Energy relative to the lowest polymorph listed for this composition: 0.000 eV per atom


Entry 15:
First-principles (GGA-PBE) data for a relaxed structure of Ge2PtSe, as listed in OQMD. Values from VASP.

Structure (Quantum ESPRESSO input):
```
&SYSTEM
  ibrav = 0, nat = 8, ntyp = 3
/
ATOMIC_SPECIES
Ge 72.64 Ge.upf
Pt 195.08 Pt.upf
Se 78.96 Se.upf
ATOMIC_POSITIONS angstrom
Ge 0.0000 0.0760 0.0000
Ge 0.0000 2.8834 4.4952
Ge 1.8221 3.2499 0.9319
Ge 1.8221 6.0573 3.5634
Pt 0.0000 4.6049 2.2171
Pt 1.8221 1.5284 5.7804
Se 0.0000 1.5053 2.2629
Se 1.8221 4.6280 5.8263
CELL_PARAMETERS angstrom
3.6442 0.0000 0.0000
0.0000 6.1333 0.0000
0.0000 0.0000 7.1267
```

Symmetry: Pmn2_1 (31)
Spin magnetization: 0.00 μB/f.u.
Final energy: -4.75 eV per atom


Entry 16:
First-principles (GGA-PBE) data for a relaxed structure of YHfNO, as listed in OQMD. Values from VASP.

Structure (Quantum ESPRESSO input):
```
&SYSTEM
  ibrav = 0, nat = 8, ntyp = 4
/
ATOMIC_SPECIES
Y 88.91 Y.upf
Hf 178.49 Hf.upf
N 14.01 N.upf
O 16.00 O.upf
ATOMIC_POSITIONS angstrom
Y 0.0000 1.0867 0.0000
Y 0.0000 4.9242 2.3696
Hf 2.0781 1.6952 2.3722
Hf 2.0781 4.3157 0.0026
N 0.0000 1.3567 2.3683
N 0.0000 4.6542 4.7379
O 2.0781 2.2092 4.7278
O 2.0781 3.8017 2.3582
CELL_PARAMETERS angstrom
4.1561 0.0000 0.0000
0.0000 6.0109 0.0000
0.0000 0.0000 4.7393
```

Symmetry: Pmc2_1 (26)
Spin magnetization: 0.00 μB/f.u.
Energy relative to the lowest polymorph listed for this composition: 0.089 eV per atom


Entry 17:
First-principles (GGA-PBE) data for a relaxed structure of TmBPO, as listed in OQMD. Values from VASP.

Structure (Quantum ESPRESSO input):
```
&SYSTEM
  ibrav = 0, nat = 8, ntyp = 4
/
ATOMIC_SPECIES
Tm 168.93 Tm.upf
B 10.81 B.upf
P 30.97 P.upf
O 16.00 O.upf
ATOMIC_POSITIONS angstrom
Tm 1.3833 4.1499 0.0000
Tm 4.1499 1.3833 0.0000
B 1.3833 1.3833 0.5888
B 4.1499 4.1499 3.5414
P 1.3833 1.3833 2.9150
P 4.1499 4.1499 1.2152
O 1.3833 4.1499 2.0651
O 4.1499 1.3833 2.0651
CELL_PARAMETERS angstrom
5.5332 0.0000 0.0000
0.0000 5.5332 0.0000
0.0000 0.0000 4.1302
```

Symmetry: P4/nmm (129)
Spin magnetization: 0.00 μB/f.u.
Energy relative to the lowest polymorph listed for this composition: 0.806 eV per atom


Entry 18:
First-principles (GGA-PBE) data for a relaxed structure of Tm2Nb, as listed in OQMD. Values from VASP.

Structure (Quantum ESPRESSO input):
```
&SYSTEM
  ibrav = 0, nat = 6, ntyp = 2
/
ATOMIC_SPECIES
Tm 168.93 Tm.upf
Nb 92.91 Nb.upf
ATOMIC_POSITIONS angstrom
Tm 0.0000 0.0000 0.0000
Tm 3.0416 3.0416 0.0000
Tm 3.0416 0.0000 3.0416
Tm 0.0000 3.0416 3.0416
Nb 1.5208 1.5208 1.5208
Nb 10.6455 10.6455 10.6455
CELL_PARAMETERS angstrom
0.0000 6.0832 6.0832
6.0832 0.0000 6.0832
6.0832 6.0832 0.0000
```

Symmetry: Fd-3m (227)
Energy of formation from the pure elements: 2331 meV per atom
Spin magnetization: 1.59 μB/f.u.
Energy relative to the lowest polymorph listed for this composition: 1.481 eV per atom


Entry 19:
First-principles (GGA-PBE) data for a relaxed structure of Na4AlGaCu2, as listed in OQMD. Values from VASP.

Structure (Quantum ESPRESSO input):
```
&SYSTEM
  ibrav = 0, nat = 8, ntyp = 4
/
ATOMIC_SPECIES
Na 22.99 Na.upf
Al 26.98 Al.upf
Ga 69.72 Ga.upf
Cu 63.55 Cu.upf
ATOMIC_POSITIONS angstrom
Na 0.0000 0.0000 0.0000
Na 0.0000 2.3789 1.6473
Na 2.3789 0.0000 5.0818
Na 2.3789 2.3789 3.3645
Al 0.0000 0.0000 3.3645
Ga 2.3789 2.3789 0.0000
Cu 0.0000 2.3789 5.0120
Cu 2.3789 0.0000 1.7171
CELL_PARAMETERS angstrom
4.7579 0.0000 0.0000
0.0000 4.7579 0.0000
0.0000 0.0000 6.7291
```

Symmetry: P-4m2 (115)
Final energy: -2.26 eV per atom


Entry 20:
First-principles (GGA-PBE) data for a relaxed structure of CsNbP2S8, as listed in OQMD. Values from VASP.

Structure (Quantum ESPRESSO input):
```
&SYSTEM
  ibrav = 0, nat = 12, ntyp = 4
/
ATOMIC_SPECIES
Cs 132.91 Cs.upf
Nb 92.91 Nb.upf
P 30.97 P.upf
S 32.06 S.upf
ATOMIC_POSITIONS angstrom
Cs 0.0000 0.0000 0.0000
Nb -0.8504 0.0000 5.6309
P 2.5611 0.0000 7.9981
P 7.4242 0.0000 3.2637
S 1.5148 0.0000 6.2185
S 4.4130 1.1944 7.6869
S 1.5621 0.0000 11.2601
S 5.5723 1.1944 3.5750
S 4.4130 -1.1944 7.6869
S 8.4232 0.0000 0.0018
S 5.5723 -1.1944 3.5750
S 8.4705 0.0000 5.0434
CELL_PARAMETERS angstrom
5.8430 -2.4876 0.0000
5.8430 2.4876 0.0000
-1.7008 0.0000 11.2619
```

Symmetry: C2/m (12)
Spin magnetization: 0.76 μB/f.u.
Final energy: -4.65 eV per atom